No. 1
Here is a relaxed structure of MgTl2Hg from Alexandria. Energies are from PBE.

Calculated values
calculated volume = 26.7 A^3/atom
space group = I4/mmm (139)
crystal system = tetragonal
total magnetic moment = 0.00 Bohr magnetons per cell
ΔH_f (0 K) = -0.05 eV per atom

a b c (Å): 4.849 4.849 18.151
angles (deg): 90.00 90.00 90.00
Positions (direct):
Mg 0.000 0.500 0.250
Mg 0.000 0.500 0.750
Mg 0.500 0.000 0.250
Mg 0.500 0.000 0.750
Tl 0.000 0.000 0.133
Tl 0.000 0.000 0.867
Tl 0.000 0.500 0.000
Tl 0.000 0.500 0.500
Tl 0.500 0.000 0.000
Tl 0.500 0.000 0.500
Tl 0.500 0.500 0.367
Tl 0.500 0.500 0.633
Hg 0.000 0.000 0.350
Hg 0.000 0.000 0.650
Hg 0.500 0.500 0.150
Hg 0.500 0.500 0.850

=====

No. 2
Here is a relaxed structure of CdOs2N4O8 from Alexandria. Energies are from PBE.

Calculated values
calculated volume = 22.4 A^3/atom
space group = F-43m (216)
crystal system = cubic
uncorrected energy = -5.78 eV per atom
total magnetic moment = 9.92 Bohr magnetons per cell

a b c (Å): 7.801 7.801 7.801
angles (deg): 60.00 60.00 60.00
Positions (direct):
Cd 0.000 0.000 0.000
Os 0.500 0.500 0.500
Os 0.750 0.750 0.750
N 0.119 0.119 0.119
N 0.119 0.119 0.642
N 0.119 0.642 0.119
N 0.642 0.119 0.119
O 0.410 0.410 0.410
O 0.410 0.410 0.771
O 0.410 0.771 0.410
O 0.478 0.841 0.841
O 0.771 0.410 0.410
O 0.841 0.478 0.841
O 0.841 0.841 0.478
O 0.841 0.841 0.841